1.
This record from Alexandria describes crystalline KInAg2Sn at its relaxed geometry. The functional is PBE.

a b c (Å): 6.8152 6.8152 6.8152
angles (deg): 138.39 138.33 60.35
Closest atoms and distances in Å follow each position.
Fractional positions:
K: 0.0000 0.0000 0.0000  8 Ag 3.69-3.89, 4 Sn 3.70, 4 In 3.72-3.90
In: 0.2402 0.7402 0.5000  2 Ag 2.82, 2 Sn 2.93
Ag: 0.6174 0.6174 0.0000  1 Sn 2.79, 2 In 2.82, 2 Ag 2.93
Ag: 0.7579 0.2579 0.5000  2 Sn 2.82, 2 Ag 2.93
Sn: 0.3808 0.3808 0.0000  3 Ag 2.79-2.82, 2 In 2.93

Output
For the formation energy, the calculation gives -79 meV per atom. The value obtained for the total energy is -0.205 Ry per atom.

***

2.
This record from Alexandria describes crystalline HfPa2N at its relaxed geometry. The functional is PBE.

a b c (Å): 8.8008 8.8008 8.8008
angles (deg): 21.68 21.68 21.68
Closest atoms and distances in Å follow each position.
Fractional positions:
Hf: 0.0000 0.0000 0.0000  6 Hf 3.31, 6 Pa 3.40
Pa: 0.2243 0.2243 0.2243  3 N 2.42
Pa: 0.7757 0.7757 0.7757  3 N 2.42
N: 0.5000 0.5000 0.5000  6 Pa 2.42

Output
The value obtained for the total energy is -0.726 Ry per atom. Its uncorrected formation energy is -0.560 eV/atom.

***

3.
This record from Alexandria describes crystalline Al4Ni15Ir at its relaxed geometry. The functional is PBE.

a b c (Å): 3.5714 3.5714 17.8899
angles (deg): 90.00 90.00 90.00
Closest atoms and distances in Å follow each position.
Fractional positions:
Al: 0.0000 0.0000 0.0989  12 Ni 2.51-2.53
Al: 0.0000 0.0000 0.2959  12 Ni 2.49-2.56
Al: 0.0000 0.0000 0.7041  12 Ni 2.49-2.56
Al: 0.0000 0.0000 0.9011  12 Ni 2.51-2.53
Ni: 0.0000 0.5000 0.0000  4 Al 2.51, 8 Ni 2.53
Ni: 0.0000 0.5000 0.1988  4 Al 2.49-2.53, 8 Ni 2.51-2.53
Ni: 0.0000 0.5000 0.3981  8 Ni 2.52-2.55, 2 Ir 2.55, 2 Al 2.56
Ni: 0.0000 0.5000 0.6019  8 Ni 2.52-2.55, 2 Ir 2.55, 2 Al 2.56
Ni: 0.0000 0.5000 0.8012  4 Al 2.49-2.53, 8 Ni 2.51-2.53
Ni: 0.5000 0.0000 0.0000  4 Al 2.51, 8 Ni 2.53
Ni: 0.5000 0.0000 0.1988  4 Al 2.49-2.53, 8 Ni 2.51-2.53
Ni: 0.5000 0.0000 0.3981  8 Ni 2.52-2.55, 2 Ir 2.55, 2 Al 2.56
Ni: 0.5000 0.0000 0.6019  8 Ni 2.52-2.55, 2 Ir 2.55, 2 Al 2.56
Ni: 0.5000 0.0000 0.8012  4 Al 2.49-2.53, 8 Ni 2.51-2.53
Ni: 0.5000 0.5000 0.1001  8 Ni 2.51-2.53, 4 Al 2.53
Ni: 0.5000 0.5000 0.2990  8 Ni 2.52-2.53, 4 Al 2.53
Ni: 0.5000 0.5000 0.5000  4 Ir 2.53, 8 Ni 2.55
Ni: 0.5000 0.5000 0.7010  8 Ni 2.52-2.53, 4 Al 2.53
Ni: 0.5000 0.5000 0.8999  8 Ni 2.51-2.53, 4 Al 2.53
Ir: 0.0000 0.0000 0.5000  12 Ni 2.53-2.55

Output
For the formation energy, the calculation gives -337 meV per atom. The value obtained for the total energy is -0.431 Ry per atom.

***

4.
This record from Alexandria describes crystalline CePu2CuN4 at its relaxed geometry. The functional is PBE.

a b c (Å): 5.8939 5.8939 11.4704
angles (deg): 90.00 90.00 145.91
Closest atoms and distances in Å follow each position.
Fractional positions:
Ce: 0.1046 0.8954 0.7500  2 N 2.44
Ce: 0.8954 0.1046 0.2500  2 N 2.44
Pu: 0.3701 0.6299 0.5554  6 N 2.25-2.41
Pu: 0.3701 0.6299 0.9446  6 N 2.25-2.41
Pu: 0.6299 0.3701 0.0554  6 N 2.25-2.41
Pu: 0.6299 0.3701 0.4446  6 N 2.25-2.41
Cu: 0.1619 0.8381 0.2500  4 N 1.98-2.15
Cu: 0.8381 0.1619 0.7500  4 N 1.98-2.15
N: 0.0000 0.0000 0.0000  4 Pu 2.35
N: 0.0000 0.0000 0.5000  4 Pu 2.35
N: 0.2678 0.7322 0.1126  1 Cu 1.98
N: 0.2678 0.7322 0.3874  1 Cu 1.98
N: 0.4517 0.5483 0.7500  2 Cu 2.15
N: 0.5483 0.4517 0.2500  2 Cu 2.15
N: 0.7322 0.2678 0.6126  1 Cu 1.98
N: 0.7322 0.2678 0.8874  1 Cu 1.98

Output
The value obtained for the total energy is -0.736 Ry per atom. Its uncorrected formation energy is -1.019 eV/atom.

***

5.
This record from Alexandria describes crystalline RbPPt3 at its relaxed geometry. The functional is PBE.

a b c (Å): 4.6995 4.6995 4.6995
angles (deg): 90.00 90.00 90.00
Closest atoms and distances in Å follow each position.
Fractional positions:
Rb: 0.0000 0.0000 0.0000  12 Pt 3.32
P: 0.5000 0.5000 0.5000  6 Pt 2.35
Pt: 0.0000 0.5000 0.5000  2 P 2.35
Pt: 0.5000 0.0000 0.5000  2 P 2.35
Pt: 0.5000 0.5000 0.0000  2 P 2.35

Output
For the formation energy, the calculation gives 21 meV per atom. The value obtained for the total energy is -0.359 Ry per atom. The calculation puts the distance to the lowest polymorph of the same formula at 326 meV/atom.

***

6.
This record from Alexandria describes crystalline TbZnRh at its relaxed geometry. The functional is PBE.

a b c (Å): 4.5218 4.5218 4.5218
angles (deg): 60.00 60.00 60.00
Closest atoms and distances in Å follow each position.
Fractional positions:
Tb: 0.0000 0.0000 0.0000  4 Rh 2.77
Zn: 0.5000 0.5000 0.5000  4 Rh 2.77
Rh: 0.2500 0.2500 0.2500  4 Tb 2.77, 4 Zn 2.77

Output
For the formation energy, the calculation gives -515 meV per atom. The value obtained for the total energy is -0.363 Ry per atom.

***

7.
This record from Alexandria describes crystalline ErZr3O at its relaxed geometry. The functional is PBE.

a b c (Å): 4.6324 4.6324 4.6324
angles (deg): 90.00 90.00 90.00
Closest atoms and distances in Å follow each position.
Fractional positions:
Er: 0.0000 0.0000 0.0000  12 Zr 3.28
Zr: 0.0000 0.5000 0.5000  2 O 2.32
Zr: 0.5000 0.0000 0.5000  2 O 2.32
Zr: 0.5000 0.5000 0.0000  2 O 2.32
O: 0.5000 0.5000 0.5000  6 Zr 2.32

Output
The value obtained for the total energy is -0.590 Ry per atom. Its uncorrected formation energy is -0.988 eV/atom.

***

8.
This record from Alexandria describes crystalline NbSF at its relaxed geometry. The functional is PBE.

a b c (Å): 6.0076 6.0076 6.2743
angles (deg): 104.16 104.16 36.08
Closest atoms and distances in Å follow each position.
Fractional positions:
Nb: 0.1486 0.1486 0.4620  2 F 2.08-2.23
Nb: 0.8514 0.8514 0.5380  2 F 2.08-2.23
S: 0.3342 0.3342 0.7651  3 Nb 2.38-2.46
S: 0.6658 0.6658 0.2349  3 Nb 2.38-2.46
F: 0.0501 0.0501 0.6979  2 Nb 2.08-2.23
F: 0.9499 0.9499 0.3021  2 Nb 2.08-2.23

Output
The value obtained for the total energy is -0.518 Ry per atom. Its uncorrected formation energy is -1.688 eV/atom.

***

Record-wise N(E_F) values, in states/eV/atom: 0.34; 1.13; 1.18; 1.75; 1.30; 0.30; 1.11; 0.69
Record-wise V values, in Å³/cell: 138.3; 81.5; 228.2; 223.3; 103.8; 65.4; 99.4; 128.9